! MgCoCl2 | the Alexandria database | SCAN | PBEsol geometry; values from VASP
! - Total DFT energy (no corrections): -10.15 eV per atom
! - Volume: 19.93 Å³/atom
! - Distance to the lowest polymorph of the same formula: 0 meV per atom
! - Total magnetization: 7.41 Bohr magnetons per cell
! - Symmetry: R-3m, No. 166
! - ΔE_f (raw): -0.59 eV per atom
&SYSTEM
  ibrav = 0, nat = 12, ntyp = 3
/
ATOMIC_SPECIES
Mg 24.30 Mg.upf
Co 58.93 Co.upf
Cl 35.45 Cl.upf
CELL_PARAMETERS angstrom
3.342 0.000 0.000
-1.671 2.895 0.000
0.000 0.000 24.715
ATOMIC_POSITIONS angstrom
Mg 0.000 0.000 0.000
Mg 0.000 1.930 16.477
Mg 1.671 0.965 8.238
Co 0.000 0.000 12.357
Co 0.000 1.930 4.119
Co 1.671 0.965 20.596
Cl 0.000 0.000 5.517
Cl 0.000 0.000 19.198
Cl 0.000 1.930 10.960
Cl 0.000 1.930 21.994
Cl 1.671 0.965 2.721
Cl 1.671 0.965 13.755

! MgCoPCl2 | the Alexandria database | SCAN | PBEsol geometry; values from VASP
! - Total DFT energy (no corrections): -9.84 eV per atom
! - Volume: 18.42 Å³/atom
! - Total magnetization: 0.01 Bohr magnetons per cell
! - Symmetry: P4/mmm, No. 123
! - ΔE_f (raw): -0.12 eV per atom
&SYSTEM
  ibrav = 0, nat = 5, ntyp = 4
/
ATOMIC_SPECIES
Mg 24.30 Mg.upf
Co 58.93 Co.upf
P 30.97 P.upf
Cl 35.45 Cl.upf
CELL_PARAMETERS angstrom
4.585 0.000 0.000
0.000 4.585 0.000
0.000 0.000 4.382
ATOMIC_POSITIONS angstrom
Mg 0.000 0.000 0.000
Co 2.292 2.292 2.191
P 2.292 2.292 0.000
Cl 0.000 2.292 2.191
Cl 2.292 0.000 2.191